! Y8Ga3Se4S, relaxed, DFT GGA-PBE; values from VASP
&SYSTEM
  ibrav = 0, nat = 16, ntyp = 4
/
ATOMIC_SPECIES
Y 88.91 Y.upf
Se 78.96 Se.upf
S 32.06 S.upf
Ga 69.72 Ga.upf
ATOMIC_POSITIONS crystal
Y 0.2508 0.2587 0.0047
Y 0.7539 0.2587 0.0047
Se 0.0000 0.0000 0.5000
Se 0.0000 0.0000 0.0000
Y 0.7539 0.2587 0.5077
Y 0.7492 0.7413 0.9953
Y 0.2495 0.2485 0.4989
Y 0.7505 0.7515 0.5011
Se 0.5000 0.0000 0.5000
S 0.0000 0.5000 0.0000
Y 0.2461 0.7413 0.4923
Se 0.5000 0.0000 0.0000
Ga 0.0000 0.5000 0.5000
Ga 0.5000 0.5000 0.0000
Y 0.2461 0.7413 0.9953
Ga 0.5000 0.5000 0.5000
CELL_PARAMETERS angstrom
8.0881 0.0000 0.0000
0.0000 8.3582 0.1832
-4.0441 -4.0383 5.7226
! final energy: -6.31 eV per atom
! ΔE_f (raw): -1380 meV/atom